Compound: BaSrMo2O6
Source: Alexandria
Functional: PBE+U
Structure: optimized geometry

a b c (Å): 8.2340 8.2340 8.2340
angles (deg): 90.00 90.00 90.00
Space group Fm-3m (No. 225)
One atom of each set of equivalent atoms:
1 Ba 0.0000 0.0000 0.0000
2 Sr 0.0000 0.0000 0.5000
3 Mo 0.2500 0.2500 0.2500
4 O 0.0000 0.2500 0.2500

Calculated values
ρ, Mg/m³: 6.10
Electronic total energy, eV/atom: -6.95